{
  "formula": "RbZrBMo2",
  "functional": "PBE",
  "state": "optimized geometry",
  "lattice_angstrom": [[-1.659, 3.605, 2.918], [-1.065, -4.176, 4.554], [4.562, 0.709, 1.717]],
  "species": ["Mo", "Mo", "B", "Rb", "Zr"],
  "frac_coords": [[0.000, 0.000, 0.500], [0.500, 0.000, 0.000], [0.500, 0.500, 0.500], [0.000, 0.500, 0.000], [0.000, 0.000, 0.000]],
  "sg": "P4/mmm (123)",
  "total_magnetization_mub_per_atom": 0.649,
  "ef_ev_per_fu": 13.8
}

***

{
  "formula": "Re2BMo",
  "functional": "PBE",
  "state": "optimized geometry",
  "lattice_angstrom": [[2.886, 0.000, 0.000], [1.443, 2.500, 0.000], [1.443, 0.833, 7.777]],
  "species": ["Re", "Re", "Mo", "B"],
  "frac_coords": [[0.107, 0.107, 0.679], [0.893, 0.893, 0.321], [0.000, 0.000, 0.000], [0.500, 0.500, 0.500]],
  "sg": "R-3m (166)",
  "total_magnetization_mub_per_atom": 0.000,
  "ef_ev_per_fu": 2.2
}

***

{
  "formula": "Re2BMo",
  "functional": "PBE",
  "state": "optimized geometry",
  "lattice_angstrom": [[-2.958, 2.647, 2.920], [-4.298, -3.396, -1.276], [1.754, -4.379, 5.745]],
  "species": ["Re", "Re", "Re", "Re", "Re", "Re", "Re", "Re", "B", "B", "B", "B", "Mo", "Mo", "Mo", "Mo"],
  "frac_coords": [[0.158, 0.680, 0.060], [0.342, 0.180, 0.440], [0.842, 0.320, 0.560], [0.658, 0.820, 0.940], [0.842, 0.320, 0.940], [0.658, 0.820, 0.560], [0.158, 0.680, 0.440], [0.342, 0.180, 0.060], [0.083, 0.384, 0.250], [0.417, 0.884, 0.250], [0.917, 0.616, 0.750], [0.583, 0.116, 0.750], [0.649, 0.526, 0.250], [0.851, 0.026, 0.250], [0.351, 0.474, 0.750], [0.149, 0.974, 0.750]],
  "sg": "Pnma (62)",
  "total_magnetization_mub_per_atom": 0.000,
  "ef_ev_per_fu": -1.0
}

***

{
  "formula": "ReBMo2",
  "functional": "PBE",
  "state": "optimized geometry",
  "lattice_angstrom": [[7.200, 0.000, 0.000], [0.000, 7.200, 0.000], [3.600, 3.600, 2.212]],
  "species": ["Re", "Re", "Mo", "Mo", "Mo", "Mo", "B", "B"],
  "frac_coords": [[0.000, 0.000, 0.000], [0.750, 0.250, 0.500], [0.525, 0.125, 0.250], [0.225, 0.625, 0.250], [0.375, 0.475, 0.750], [0.875, 0.775, 0.750], [0.500, 0.500, 0.000], [0.250, 0.750, 0.500]],
  "sg": "I-42d (122)",
  "total_magnetization_mub_per_atom": 0.000,
  "ef_ev_per_fu": 1.2
}

***

{
  "formula": "Re3BMo",
  "functional": "PBE",
  "state": "optimized geometry",
  "lattice_angstrom": [[4.755, 0.000, 0.000], [0.000, 7.629, 0.000], [0.000, 0.000, 7.571]],
  "species": ["Re", "Re", "Re", "Re", "Re", "Re", "Re", "Re", "Re", "Re", "Re", "Re", "B", "B", "B", "B", "Mo", "Mo", "Mo", "Mo"],
  "frac_coords": [[0.866, 0.156, 0.943], [0.634, 0.656, 0.443], [0.634, 0.656, 0.057], [0.134, 0.844, 0.443], [0.134, 0.844, 0.057], [0.366, 0.344, 0.557], [0.366, 0.344, 0.943], [0.866, 0.156, 0.557], [0.315, 0.040, 0.750], [0.185, 0.540, 0.250], [0.685, 0.960, 0.250], [0.815, 0.460, 0.750], [0.000, 0.500, 0.000], [0.500, 0.000, 0.500], [0.500, 0.000, 0.000], [0.000, 0.500, 0.500], [0.332, 0.655, 0.750], [0.168, 0.155, 0.250], [0.668, 0.345, 0.250], [0.832, 0.845, 0.750]],
  "sg": "Pnma (62)",
  "total_magnetization_mub_per_atom": 0.000,
  "ef_ev_per_fu": 0.3,
  "relative_energy_ev_per_fu": 0.04
}

***

{
  "formula": "Re5B3Mo",
  "functional": "PBE",
  "state": "optimized geometry",
  "lattice_angstrom": [[-2.425, 3.529, -3.521], [5.119, -1.203, -1.756], [-3.920, -7.609, -1.516]],
  "species": ["Re", "Re", "Re", "Re", "Re", "Re", "Re", "Re", "Re", "Re", "B", "B", "B", "B", "B", "B", "Mo", "Mo"],
  "frac_coords": [[0.553, 0.313, 0.411], [0.306, 0.306, 0.000], [0.246, 0.751, 0.996], [0.523, 0.777, 0.301], [0.477, 0.223, 0.699], [0.754, 0.249, 0.004], [0.098, 0.858, 0.411], [0.694, 0.694, 0.000], [0.447, 0.687, 0.589], [0.902, 0.142, 0.589], [0.288, 0.495, 0.783], [0.215, 0.987, 0.201], [0.000, 0.000, 0.000], [0.000, 0.500, 0.500], [0.712, 0.505, 0.217], [0.785, 0.013, 0.799], [0.977, 0.732, 0.709], [0.023, 0.268, 0.291]],
  "sg": "C2/m (12)",
  "total_magnetization_mub_per_atom": 0.000,
  "ef_ev_per_fu": 2.5
}

***

{
  "formula": "Re2B2Mo",
  "functional": "PBE",
  "state": "optimized geometry",
  "lattice_angstrom": [[-3.926, -3.375, 3.456], [-1.759, -3.149, -5.074], [2.123, -1.971, 0.487]],
  "species": ["Re", "Re", "Re", "Re", "Mo", "Mo", "B", "B", "B", "B"],
  "frac_coords": [[0.151, 0.651, 0.500], [0.651, 0.849, 0.500], [0.849, 0.349, 0.500], [0.349, 0.151, 0.500], [0.000, 0.000, 0.000], [0.500, 0.500, 0.000], [0.358, 0.858, 0.000], [0.858, 0.642, 0.000], [0.642, 0.142, 0.000], [0.142, 0.358, 0.000]],
  "sg": "P4/mbm (127)",
  "total_magnetization_mub_per_atom": 0.000,
  "ef_ev_per_fu": -0.7
}

***

{
  "formula": "Re3BMo",
  "functional": "PBE",
  "state": "optimized geometry",
  "lattice_angstrom": [[-3.142, 0.464, 2.765], [-1.135, -5.696, -0.334], [3.576, -0.960, 4.225]],
  "species": ["Re", "Re", "Re", "Re", "Re", "Re", "B", "B", "Mo", "Mo"],
  "frac_coords": [[0.000, 0.222, 0.999], [0.000, 0.778, 0.001], [0.000, 0.222, 0.501], [0.000, 0.778, 0.499], [0.500, 0.026, 0.750], [0.500, 0.974, 0.250], [0.000, 0.500, 0.750], [0.000, 0.500, 0.250], [0.500, 0.493, 0.750], [0.500, 0.507, 0.250]],
  "sg": "Pmma (51)",
  "total_magnetization_mub_per_atom": 0.000,
  "ef_ev_per_fu": 0.3,
  "relative_energy_ev_per_fu": 0.00
}

***

no.,E_tot (eV per atom)
1,-4.82
2,-10.06
3,-10.85
4,-9.89
5,-10.91
6,-10.07
7,-9.95
8,-10.92